SrMgBiI: relaxed, GGA-PBE.

Lattice parameters (Å, degrees): 15.880 15.880 15.880 17.58 17.58 17.58
Sites, in units of the cell vectors:
1 Sr 0.086 0.086 0.086
2 Sr 0.914 0.914 0.914
3 Mg 0.312 0.312 0.312
4 Mg 0.688 0.688 0.688
5 Bi 0.376 0.376 0.376
6 Bi 0.624 0.624 0.624
7 I 0.209 0.209 0.209
8 I 0.791 0.791 0.791

Formation energy from raw total energies ... -1.001 eV/atom
Raw total energy ... -3.178 eV/atom
Total moment ... 0.0000 μB per atom
Space-group type ... R-3m, No. 166


MgTcBi2I: relaxed, GGA-PBE.

Lattice parameters (Å, degrees): 5.258 5.258 5.446 90.00 90.00 90.00
Sites, in units of the cell vectors:
1 Mg 0.000 0.000 0.000
2 Tc 0.000 0.000 0.500
3 Bi 0.000 0.500 0.500
4 Bi 0.500 0.000 0.500
5 I 0.500 0.500 0.000

N(E_F) ... 1.75 states/eV/cell
Formation energy from raw total energies ... 0.203 eV/atom
Raw total energy ... -4.051 eV/atom
Total moment ... 0.0000 μB per atom
Space-group type ... P4/mmm, No. 123


MgTi2BiI: relaxed, GGA-PBE.

Lattice parameters (Å, degrees): 5.475 5.475 5.564 90.00 90.00 90.00
Sites, in units of the cell vectors:
1 Mg 0.000 0.000 0.000
2 Ti 0.000 0.500 0.500
3 Ti 0.500 0.000 0.500
4 Bi 0.000 0.000 0.500
5 I 0.500 0.500 0.000

N(E_F) ... 4.61 states/eV/cell
Formation energy from raw total energies ... 0.707 eV/atom
Raw total energy ... -3.856 eV/atom
Total moment ... 1.0762 μB per atom
Space-group type ... P4/mmm, No. 123